1.
CaPm2Eu | PBE | relaxed

Lattice parameters (Å, degrees): 5.948 5.948 5.948 60.00 60.00 60.00
Each line ends with the local moment (μB).
Element x y z (fractional)
Ca1 0.500 0.500 0.500  0.01
Pm1 0.250 0.250 0.250  0.06
Pm2 0.750 0.750 0.750  0.06
Eu1 0.000 0.000 0.000  6.85

Output
energy above the lowest structure with this stoichiometry	50	meV per atom
uncorrected energy	-5.310	eV per atom
formation energy from the elements	0.1340	eV/atom


2.
Li5AlAg2 | PBE | relaxed

Lattice parameters (Å, degrees): 4.267 4.267 7.868 105.73 105.73 90.00
Element x y z (fractional)
Li1 0.500 0.500 0.000
Li2 0.130 0.630 0.261
Li3 0.630 0.130 0.261
Li4 0.370 0.870 0.739
Li5 0.870 0.370 0.739
Ag1 0.754 0.754 0.508
Ag2 0.246 0.246 0.492
Al1 0.000 0.000 0.000

Output
energy above the lowest structure with this stoichiometry	36	meV per atom
uncorrected energy	-2.516	eV per atom
formation energy from the elements	-0.1389	eV/atom


3.
NdGa4Pd | PBE | relaxed

Lattice parameters (Å, degrees): 4.116 5.801 5.801 92.17 69.22 69.22
Element x y z (fractional)
Pd1 0.500 0.500 0.500
Ga1 0.192 0.151 0.465
Ga2 0.808 0.535 0.849
Ga3 0.808 0.849 0.535
Ga4 0.192 0.465 0.151
Nd1 0.000 0.000 0.000

Output
uncorrected energy	-4.087	eV per atom
formation energy from the elements	-0.4093	eV/atom


4.
MgBRh2 | PBE | relaxed

Lattice parameters (Å, degrees): 6.614 6.614 5.313 51.50 51.50 90.00
Element x y z (fractional)
Mg1 0.750 0.250 0.500
Mg2 0.000 0.000 0.000
Rh1 0.221 0.625 0.250
Rh2 0.375 0.471 0.750
Rh3 0.529 0.125 0.250
Rh4 0.875 0.779 0.750
B1 0.250 0.750 0.500
B2 0.500 0.500 0.000

Output
uncorrected energy	-6.092	eV per atom
formation energy from the elements	-0.3478	eV/atom


5.
Dy2TmO4 | PBE | relaxed

Lattice parameters (Å, degrees): 3.427 5.864 6.297 120.18 105.79 90.00
Element x y z (fractional)
O1 0.868 0.158 0.736
O2 0.642 0.265 0.285
O3 0.132 0.842 0.264
O4 0.358 0.735 0.715
Tm1 0.000 0.000 0.000
Dy1 0.697 0.698 0.395
Dy2 0.303 0.302 0.605

Output
uncorrected energy	-8.025	eV per atom


6.
Tb4Te3S | PBE | relaxed

Lattice parameters (Å, degrees): 4.206 7.460 7.460 109.05 90.00 90.00
Element x y z (fractional)
Te1 0.500 0.500 0.500
Te2 0.000 0.500 0.000
Te3 0.000 0.000 0.500
S1 0.500 0.000 0.000
Tb1 0.500 0.224 0.776
Tb2 0.000 0.787 0.787
Tb3 0.000 0.213 0.213
Tb4 0.500 0.776 0.224

Output
energy above the lowest structure with this stoichiometry	0	meV per atom
uncorrected energy	-5.489	eV per atom


7.
Tb2Dy12Y | PBE | relaxed

Lattice parameters (Å, degrees): 6.616 6.616 24.847 83.37 96.63 64.92
Element x y z (fractional)
Dy1 0.094 0.897 0.799
Dy2 0.897 0.094 0.201
Dy3 0.834 0.168 0.445
Dy4 0.899 0.601 0.865
Dy5 0.004 0.000 0.670
Dy6 0.406 0.603 0.201
Dy7 0.683 0.817 0.575
Dy8 0.944 0.056 0.926
Dy9 0.179 0.321 0.573
Dy10 0.105 0.395 0.140
Dy11 0.496 0.500 0.330
Dy12 0.666 0.332 0.555
Dy13 0.603 0.406 0.799
Dy14 0.500 0.496 0.670
Dy15 0.000 0.004 0.330
Dy16 0.817 0.683 0.425
Dy17 0.321 0.179 0.427
Dy18 0.332 0.666 0.445
Dy19 0.168 0.834 0.555
Dy20 0.056 0.944 0.074
Dy21 0.444 0.556 0.926
Dy22 0.601 0.899 0.135
Dy23 0.395 0.105 0.860
Dy24 0.556 0.444 0.074
Y1 0.002 0.498 0.002
Y2 0.498 0.002 0.998
Tb1 0.457 0.043 0.272
Tb2 0.548 0.952 0.728
Tb3 0.043 0.457 0.728
Tb4 0.952 0.548 0.272

Output
uncorrected energy	-4.615	eV per atom
formation energy from the elements	0.1153	eV/atom


8.
Pm8Ir3Br4N | PBE | relaxed

Lattice parameters (Å, degrees): 8.100 9.015 8.103 116.74 119.99 90.00
Element x y z (fractional)
Ir1 0.500 0.500 0.500
Ir2 0.500 0.500 0.000
Ir3 0.000 0.500 0.500
Pm1 0.267 0.301 0.534
Pm2 0.219 0.686 0.967
Pm3 0.733 0.699 0.466
Pm4 0.252 0.314 0.033
Pm5 0.220 0.686 0.440
Pm6 0.748 0.686 0.967
Pm7 0.781 0.314 0.033
Pm8 0.780 0.314 0.560
Br1 0.500 0.000 0.500
Br2 0.500 0.000 0.000
Br3 0.000 0.000 0.500
Br4 0.000 0.000 0.000
N1 0.000 0.500 0.000

Output
uncorrected energy	-6.085	eV per atom


9.
TaAl2Rh | PBE | relaxed

Lattice parameters (Å, degrees): 4.882 4.882 2.834 89.99 89.99 111.50
Element x y z (fractional)
Al1 0.500 0.500 0.000
Al2 0.000 0.000 0.000
Rh1 0.500 0.000 0.500
Ta1 0.000 0.500 0.500

Output
uncorrected energy	-7.037	eV per atom
formation energy from the elements	-0.3644	eV/atom


10.
NbP2Rh | PBE | relaxed

Lattice parameters (Å, degrees): 3.625 3.625 5.875 72.03 72.03 60.00
Element x y z (fractional)
Nb1 0.500 0.500 0.500
Rh1 0.000 0.000 0.000
P1 0.257 0.257 0.228
P2 0.743 0.743 0.772

Output
uncorrected energy	-7.407	eV per atom
formation energy from the elements	-0.3466	eV/atom


11.
ReNi2Os | PBE | relaxed

Lattice parameters (Å, degrees): 4.546 4.546 4.546 131.77 131.79 70.58
Element x y z (fractional)
Os1 0.500 0.500 0.000
Ni1 0.000 0.000 0.000
Ni2 0.750 0.250 0.500
Re1 0.250 0.750 0.500

Output
energy above the lowest structure with this stoichiometry	0	meV per atom
uncorrected energy	-8.801	eV per atom
formation energy from the elements	0.0089	eV/atom


12.
Zr2BeAu | PBE | relaxed

Lattice parameters (Å, degrees): 5.623 5.623 5.623 146.34 131.39 60.42
Element x y z (fractional)
Zr1 0.744 0.244 0.500
Zr2 0.018 0.018 0.000
Be1 0.278 0.778 0.500
Au1 0.460 0.460 0.000

Output
uncorrected energy	-6.225	eV per atom
formation energy from the elements	-0.2003	eV/atom


One value per record, in order, for calculated volume: 148.8, 132.3, 118.9, 110.2, 103.8, 221.3, 962.0, 437.8, 62.8, 62.5, 51.2, 73.2 Å³ per cell.